## Cs4Y3ThTe8 (PBE)

Data for an optimized crystal structure of Cs4Y3ThTe8.

Formation energy from raw total energies ... -1.342 eV/atom
Crystal system ... trigonal

```
Cs4Y3ThTe8
1.0
4.552 2.628 8.971
-4.552 2.628 8.971
0.000 -5.256 8.971
Cs Y Th Te
4 3 1 8
Direct
0.000 0.000 0.000
0.000 0.500 0.500
0.500 0.000 0.500
0.500 0.500 0.000
0.000 0.000 0.500
0.000 0.500 0.000
0.500 0.000 0.000
0.500 0.500 0.500
0.228 0.733 0.733
0.230 0.230 0.230
0.267 0.267 0.772
0.267 0.772 0.267
0.733 0.228 0.733
0.733 0.733 0.228
0.770 0.770 0.770
0.772 0.267 0.267
```